Record 1
A relaxed K2CaPt crystal. Source: Alexandria, functional PBE-GGA.

Cell lengths 3.8357, 3.8357, 10.8938 Å; angles 90.00, 90.00, 90.00 degrees
Last column: nearest neighbours and their distance in Å.
Sites, in units of the cell vectors:
1 K 0.5000 0.5000 0.3387  1 Ca 3.39, 4 Pt 3.55
2 Ca 0.5000 0.5000 0.6499  4 Pt 2.92
3 Pt 0.0000 0.0000 0.5495  4 Ca 2.92
4 K 0.0000 0.0000 0.9619  4 K 3.84

- excess energy over the best structure of this formula in the dataset (eV per atom) = 0.019
- formation energy (eV per atom) = -0.237

***

Record 2
A relaxed Nd10Ho6Er crystal. Source: Alexandria, functional PBE-GGA.

Cell lengths 6.9083, 9.8315, 9.8315 Å; angles 120.00, 90.00, 90.00 degrees
Last column: nearest neighbours and their distance in Å.
Sites, in units of the cell vectors:
1 Nd 0.8157 0.0000 0.2743  5 Ho 3.38-3.62, 1 Er 3.47, 2 Nd 3.71
2 Nd 0.1843 0.0000 0.7257  5 Ho 3.38-3.62, 1 Er 3.47, 2 Nd 3.71
3 Nd 0.1843 0.7257 0.0000  5 Ho 3.38-3.62, 1 Er 3.47, 2 Nd 3.71
4 Ho 0.6899 0.0000 0.6304  9 Nd 3.38-3.78, 1 Ho 3.67
5 Nd 0.5000 0.3333 0.6667  6 Ho 3.38, 2 Nd 3.45
6 Ho 0.6899 0.3696 0.3696  9 Nd 3.38-3.78, 1 Ho 3.67
7 Ho 0.3101 0.0000 0.3696  9 Nd 3.38-3.78, 1 Ho 3.67
8 Nd 0.0000 0.3333 0.6667  8 Nd 3.45-3.82, 6 Ho 3.78
9 Ho 0.3101 0.6304 0.6304  9 Nd 3.38-3.78, 1 Ho 3.67
10 Ho 0.6899 0.6304 0.0000  9 Nd 3.38-3.78, 1 Ho 3.67
11 Nd 0.1843 0.2743 0.2743  5 Ho 3.38-3.62, 1 Er 3.47, 2 Nd 3.71
12 Nd 0.5000 0.6667 0.3333  6 Ho 3.38, 2 Nd 3.45
13 Nd 0.8157 0.7257 0.7257  5 Ho 3.38-3.62, 1 Er 3.47, 2 Nd 3.71
14 Er 0.5000 0.0000 0.0000  6 Nd 3.47, 6 Ho 3.86
15 Nd 0.0000 0.6667 0.3333  8 Nd 3.45-3.82, 6 Ho 3.78
16 Nd 0.8157 0.2743 0.0000  5 Ho 3.38-3.62, 1 Er 3.47, 2 Nd 3.71
17 Ho 0.3101 0.3696 0.0000  9 Nd 3.38-3.78, 1 Ho 3.67

- formation energy (eV per atom) = 0.126

***

Record 3
A relaxed ZrCu crystal. Source: Alexandria, functional PBE-GGA.

Cell lengths 3.2187, 8.5314, 3.2187 Å; angles 100.87, 60.00, 100.87 degrees
Last column: nearest neighbours and their distance in Å.
Sites, in units of the cell vectors:
1 Zr 0.7417 0.2250 0.7417  3 Cu 2.80, 3 Zr 3.11
2 Cu 0.9911 0.9732 0.9911  3 Cu 2.48
3 Zr 0.5083 0.5250 0.5083  3 Cu 2.80, 3 Zr 3.11
4 Cu 0.2589 0.7768 0.2589  3 Cu 2.48

- formation energy (eV per atom) = 0.153

***

Record 4
A relaxed Li2YAg crystal. Source: Alexandria, functional PBE-GGA.

Cell lengths 4.8154, 4.8154, 4.8154 Å; angles 60.00, 60.00, 60.00 degrees
Last column: nearest neighbours and their distance in Å.
Sites, in units of the cell vectors:
1 Li 0.7500 0.7500 0.7500  4 Y 2.95, 4 Ag 2.95
2 Li 0.2500 0.2500 0.2500  4 Ag 2.95, 4 Y 2.95
3 Ag 0.5000 0.5000 0.5000  8 Li 2.95
4 Y 0.0000 0.0000 0.0000  8 Li 2.95

- excess energy over the best structure of this formula in the dataset (eV per atom) = 0.108
- formation energy (eV per atom) = 0.012

***

Record 5
A relaxed La12Sm7Er crystal. Source: Alexandria, functional PBE-GGA.

Cell lengths 6.4247, 11.5779, 11.5779 Å; angles 116.66, 100.66, 100.66 degrees
Last column: nearest neighbours and their distance in Å.
Sites, in units of the cell vectors:
1 La 0.4999 0.5924 0.4076  3 La 3.32-3.64, 2 Sm 3.38
2 La 0.0926 0.1848 0.5924  3 La 3.32-3.64, 2 Sm 3.38
3 La 0.0749 0.6451 0.6451  1 La 3.31, 4 Sm 3.37-3.67
4 La 0.9077 0.4076 0.8152  3 La 3.32-3.64, 2 Sm 3.38
5 Sm 0.1143 0.9999 0.7494  1 Er 3.12, 4 La 3.37-3.48, 1 Sm 3.45
6 Sm 0.6351 0.7494 0.7495  1 Er 3.12, 4 La 3.37-3.48, 1 Sm 3.45
7 Sm 0.8856 0.2505 0.9999  1 Er 3.12, 4 La 3.37-3.48, 1 Sm 3.45
8 La 0.5702 0.6451 0.0001  1 La 3.31, 4 Sm 3.37-3.67
9 Sm 0.1144 0.7495 0.0001  1 Er 3.12, 4 La 3.37-3.48, 1 Sm 3.45
10 La 0.4298 0.3549 0.9999  1 La 3.31, 4 Sm 3.37-3.67
11 Sm 0.5000 0.0000 0.0000  2 Er 3.21, 6 Sm 3.45
12 La 0.4298 0.0001 0.3549  1 La 3.31, 4 Sm 3.37-3.67
13 La 0.9251 0.3549 0.3549  1 La 3.31, 4 Sm 3.37-3.67
14 Sm 0.3649 0.2506 0.2505  1 Er 3.12, 4 La 3.37-3.48, 1 Sm 3.45
15 Er 0.0000 0.0000 0.0000  8 Sm 3.12-3.21
16 La 0.5702 0.9999 0.6451  1 La 3.31, 4 Sm 3.37-3.67
17 La 0.9074 0.8152 0.4076  3 La 3.32-3.64, 2 Sm 3.38
18 Sm 0.8857 0.0001 0.2506  1 Er 3.12, 4 La 3.37-3.48, 1 Sm 3.45
19 La 0.5001 0.4076 0.5924  3 La 3.32-3.64, 2 Sm 3.38
20 La 0.0923 0.5924 0.1848  3 La 3.32-3.64, 2 Sm 3.38

- excess energy over the best structure of this formula in the dataset (eV per atom) = 0.000
- formation energy (eV per atom) = 0.176

***

Record 6
A relaxed Br2Cl5F2 crystal. Source: Alexandria, functional PBE-GGA.

Cell lengths 5.8453, 4.4621, 11.7057 Å; angles 108.18, 68.58, 88.98 degrees
Last column: nearest neighbours and their distance in Å.
Sites, in units of the cell vectors:
1 F 0.6902 0.5464 0.8062  1 Cl 1.76
2 Cl 0.5514 0.7705 0.2175  1 Br 2.28
3 Br 0.8654 0.0163 0.1192  2 Cl 2.28-2.45
4 Cl 0.4454 0.9193 0.5300  1 Br 2.21
5 Cl 0.9679 0.2579 0.3304  1 F 1.70
6 Cl 0.2029 0.2610 0.0022  2 Br 2.45-2.69
7 F 0.0222 0.4145 0.4693  1 Cl 1.70
8 Br 0.3098 0.0574 0.7443  1 Cl 2.21
9 Cl 0.9448 0.7566 0.7809  1 F 1.76

- electronic total energy (eV for the cell shown) = -17.6

***

Number 1: M_tot 0.0 μB/f.u., density of states at the Fermi level 2.01 states/eV/f.u.. Number 2: M_tot 0.0 μB/f.u., density of states at the Fermi level 25.04 states/eV/f.u.. Number 3: M_tot 0.0 μB/f.u., density of states at the Fermi level 2.12 states/eV/f.u.. Number 4: M_tot 0.0 μB/f.u., density of states at the Fermi level 6.16 states/eV/f.u.. Number 5: M_tot 0.0 μB/f.u., density of states at the Fermi level 25.94 states/eV/f.u.. Number 6: M_tot 0.0 μB/f.u., density of states at the Fermi level 7.42 states/eV/f.u..